An optimized crystal structure of Nd2ThIn. Source: Alexandria via LeMat-Bulk, functional PBE.

a b c (Å): 3.6635 3.6635 9.2516
angles (deg): 90.00 90.00 90.00
Last column: nearest neighbours and their distance in Å.
Space group P4/mmm (No. 123)
Inequivalent atoms, fractional coordinates:
Nd: 0.0000 0.0000 0.2338 (multiplicity 2)  4 In 3.37, 4 Th 3.57, 4 Nd 3.66
Th: 0.5000 0.5000 0.5000 (multiplicity 1)  8 Nd 3.57, 4 Th 3.66
In: 0.5000 0.5000 0.0000 (multiplicity 1)  8 Nd 3.37, 4 In 3.66

Output
As for the energy of formation: -0.90 eV/f.u. The energy above the most stable polymorph in this dataset is 0.000 kcal/mol of atoms. The value obtained for the uncorrected energy is -20.590 eV/cell.